<one>
DFT (PBE) results for an optimized crystal structure of BaCdInSnPd.

a b c (Å): 4.894 4.894 11.571
angles (deg): 90.00 90.00 90.00
Positions (direct):
1 Ba 0.250 0.250 0.234
2 Ba 0.750 0.750 0.766
3 Cd 0.250 0.250 0.647
4 Cd 0.750 0.750 0.353
5 In 0.250 0.750 0.500
6 In 0.750 0.250 0.500
7 Sn 0.250 0.250 0.901
8 Sn 0.750 0.750 0.099
9 Pd 0.250 0.750 0.000
10 Pd 0.750 0.250 0.000



<two>
DFT (PBE) results for an optimized crystal structure of BaCdInSnPd.

a b c (Å): 4.841 4.841 11.644
angles (deg): 90.00 90.00 90.00
Positions (direct):
1 Ba 0.250 0.250 0.239
2 Ba 0.750 0.750 0.761
3 Cd 0.250 0.750 0.500
4 Cd 0.750 0.250 0.500
5 In 0.250 0.250 0.652
6 In 0.750 0.750 0.348
7 Sn 0.250 0.750 0.000
8 Sn 0.750 0.250 0.000
9 Pd 0.250 0.250 0.887
10 Pd 0.750 0.750 0.113



<three>
DFT (PBE) results for an optimized crystal structure of BaCdInSnPd.

a b c (Å): 4.874 4.874 11.479
angles (deg): 90.00 90.00 90.00
Positions (direct):
1 Ba 0.250 0.250 0.246
2 Ba 0.750 0.750 0.754
3 Cd 0.250 0.750 0.500
4 Cd 0.750 0.250 0.500
5 In 0.250 0.750 0.000
6 In 0.750 0.250 0.000
7 Sn 0.250 0.250 0.655
8 Sn 0.750 0.750 0.345
9 Pd 0.250 0.250 0.887
10 Pd 0.750 0.750 0.113



<four>
DFT (PBE) results for an optimized crystal structure of BaCdInSnPd.

a b c (Å): 5.006 5.006 11.195
angles (deg): 90.00 90.00 90.00
Positions (direct):
1 Ba 0.250 0.250 0.237
2 Ba 0.750 0.750 0.763
3 Cd 0.250 0.250 0.650
4 Cd 0.750 0.750 0.350
5 In 0.250 0.250 0.908
6 In 0.750 0.750 0.092
7 Sn 0.250 0.750 0.500
8 Sn 0.750 0.250 0.500
9 Pd 0.250 0.750 0.000
10 Pd 0.750 0.250 0.000



Of them, <four> has the lowest stability.



<one>
DFT (PBE) results for an optimized crystal structure of BaCd2InSn.

a b c (Å): 4.942 4.942 12.216
angles (deg): 90.00 90.00 90.00
Positions (direct):
1 Ba 0.250 0.250 0.250
2 Ba 0.750 0.750 0.750
3 Cd 0.250 0.250 0.638
4 Cd 0.250 0.750 0.000
5 Cd 0.750 0.250 0.000
6 Cd 0.750 0.750 0.362
7 In 0.250 0.250 0.869
8 In 0.750 0.750 0.131
9 Sn 0.250 0.750 0.500
10 Sn 0.750 0.250 0.500



<two>
DFT (PBE) results for an optimized crystal structure of BaCd2InSn.

a b c (Å): 4.886 4.886 12.375
angles (deg): 90.00 90.00 90.00
Positions (direct):
1 Ba 0.250 0.250 0.246
2 Ba 0.750 0.750 0.754
3 Cd 0.250 0.250 0.635
4 Cd 0.250 0.750 0.000
5 Cd 0.750 0.250 0.000
6 Cd 0.750 0.750 0.365
7 In 0.250 0.750 0.500
8 In 0.750 0.250 0.500
9 Sn 0.250 0.250 0.865
10 Sn 0.750 0.750 0.135



Of them, <one> has the lowest stability.



<one>
DFT (PBE) results for an optimized crystal structure of BaSrCdIn.

a b c (Å): 5.747 5.747 5.747
angles (deg): 60.00 60.00 60.00
Positions (direct):
1 Ba 0.000 0.000 0.000
2 Sr 0.750 0.750 0.750
3 Cd 0.250 0.250 0.250
4 In 0.500 0.500 0.500



<two>
DFT (PBE) results for an optimized crystal structure of BaSrCdIn.

a b c (Å): 5.875 5.875 5.875
angles (deg): 60.00 60.00 60.00
Positions (direct):
1 Ba 0.000 0.000 0.000
2 Sr 0.500 0.500 0.500
3 Cd 0.250 0.250 0.250
4 In 0.750 0.750 0.750



Of them, <one> has the lowest stability.